# 1
## CePr3Ho2Te6 (PBE-GGA)

Data for a relaxed CePr3Ho2Te6 crystal.

POSCAR file:
```
CePr3Ho2Te6
1.0
9.7458 -2.2069 0.0000
9.7458 2.2069 0.0000
-2.1621 0.0000 8.7566
Ce Pr Ho Te
1 3 2 6
Cartesian
0.0000 0.0000 0.0000
-1.0810 0.0000 4.3783
6.2134 0.0000 1.4665
11.1162 0.0000 7.2901
5.0740 0.0000 5.8642
12.2556 0.0000 2.8925
3.0709 0.0000 0.8283
2.0947 0.0000 5.0262
8.0260 0.0000 6.5619
9.3035 0.0000 2.1947
15.2349 0.0000 3.7304
14.2586 0.0000 7.9283
```

Output
As for the space group: C2/m (12). The calculation puts the uncorrected formation energy at -1370 meV per atom. Its crystal system is monoclinic.

=====

# 2
## CePrHoTh (PBE-GGA)

Data for a relaxed CePrHoTh crystal.

POSCAR file:
```
CePrHoTh
1.0
1.7839 1.0299 11.5681
-1.7839 1.0299 11.5681
0.0000 -2.0599 11.5681
Ce Pr Ho Th
1 1 1 1
Cartesian
0.0000 0.0000 0.0000
0.0000 0.0000 5.8435
0.0000 0.0000 14.3792
0.0000 0.0000 20.3707
```

Output
As for the space group: R3m (160). As for the energy of formation: 0.05 eV/atom. Its crystal system is trigonal.

=====

# 3
## CePrHoTh (PBE-GGA)

Data for a relaxed CePrHoTh crystal.

POSCAR file:
```
CePrHoTh
1.0
0.0000 4.0195 4.0195
4.0195 0.0000 4.0195
4.0195 4.0195 0.0000
Ce Pr Ho Th
1 1 1 1
Cartesian
0.0000 0.0000 0.0000
6.0293 6.0293 6.0293
4.0195 4.0195 4.0195
2.0098 2.0098 2.0098
```

Output
As for the space group: F-43m (216). As for the energy of formation: 0.22 eV/atom. Its crystal system is cubic.

=====

Result set for DOS(E_F): 12.3, 7.7, 13.8 states/eV/f.u., one per record in the order listed.